1.
The following is a PBE calculation of a relaxed structure of Zr4MnW, from the Alexandria database.

The crystal system is cubic. As for the formation energy: 4.5 eV/f.u. The volume comes out at 126 Å³ per cell.

Unit cell a=5.6229 b=5.6229 c=5.6229 alpha=60.00 beta=60.00 gamma=60.00
Closest atoms and distances in Å follow each position.
Sites, in units of the cell vectors:
Mn1 0.7500 0.7500 0.7500  12 Zr 3.30, 4 W 3.44
Zr1 0.3740 0.8781 0.3740  6 Zr 2.79-2.83
Zr2 0.3740 0.3740 0.8781  6 Zr 2.79-2.83
Zr3 0.8781 0.3740 0.3740  6 Zr 2.79-2.83
Zr4 0.3740 0.3740 0.3740  6 Zr 2.79-2.83
W1 0.0000 0.0000 0.0000  12 Zr 3.29, 4 Mn 3.44

2.
The following is a PBE calculation of a relaxed structure of ScB3Au, from the Alexandria database.

As for the relative energy among the computed polymorphs: 0.0 meV per atom. The crystal system is cubic. As for the formation energy: 6.6 eV/f.u. The volume comes out at 73 Å³ per cell.

Unit cell a=4.1829 b=4.1829 c=4.1829 alpha=90.00 beta=90.00 gamma=90.00
Closest atoms and distances in Å follow each position.
Sites, in units of the cell vectors:
Au1 0.0000 0.0000 0.0000  6 B 2.09
B1 0.5000 0.0000 0.0000  2 Au 2.09
B2 0.0000 0.0000 0.5000  2 Au 2.09
B3 0.0000 0.5000 0.0000  2 Au 2.09
Sc1 0.5000 0.5000 0.5000  12 B 2.96

3.
The following is a PBE calculation of a relaxed structure of Mg2TaZn, from the Alexandria database.

The crystal system is tetragonal. As for the formation energy: 1.5 eV/f.u. The volume comes out at 73 Å³ per cell.

Unit cell a=5.0523 b=5.0523 c=5.0523 alpha=130.60 beta=130.60 gamma=72.45
Closest atoms and distances in Å follow each position.
Sites, in units of the cell vectors:
Mg1 0.2500 0.7500 0.5000  4 Ta 2.93, 4 Mg 2.93, 4 Zn 2.99
Mg2 0.0000 0.0000 0.0000  4 Mg 2.93, 4 Zn 2.93, 4 Ta 2.99
Ta1 0.5000 0.5000 0.0000  4 Zn 2.93, 8 Mg 2.93-2.99
Zn1 0.7500 0.2500 0.5000  8 Mg 2.93-2.99, 4 Ta 2.93

4.
The following is a PBE calculation of a relaxed structure of LiTiPbAu2, from the Alexandria database.

The crystal system is tetragonal. As for the formation energy: 1.4 eV/f.u. The volume comes out at 97 Å³ per cell.

Unit cell a=4.4788 b=4.8469 c=4.4788 alpha=90.00 beta=90.00 gamma=90.00
Closest atoms and distances in Å follow each position.
Sites, in units of the cell vectors:
Au1 0.0000 0.0000 0.5000  2 Li 2.24
Au2 0.5000 0.0000 0.0000  2 Li 2.24
Ti1 0.5000 0.5000 0.5000  4 Pb 3.17, 8 Au 3.30
Li1 0.0000 0.0000 0.0000  4 Au 2.24, 2 Pb 2.42
Pb1 0.0000 0.5000 0.0000  2 Li 2.42

5.
The following is a PBE calculation of a relaxed structure of TcPS2I, from the Alexandria database.

As for the relative energy among the computed polymorphs: 0.0 meV per atom. The crystal system is tetragonal. The volume comes out at 105 Å³ per cell. The uncorrected formation energy comes out at 0.343 eV/atom.

Unit cell a=4.5416 b=4.5416 c=5.0932 alpha=90.00 beta=90.00 gamma=90.00
Closest atoms and distances in Å follow each position.
Sites, in units of the cell vectors:
I1 0.5000 0.5000 0.5000  4 P 3.21, 8 S 3.41
S1 0.5000 0.0000 0.0000  2 Tc 2.27
S2 0.0000 0.5000 0.0000  2 Tc 2.27
P1 0.0000 0.0000 0.5000  2 Tc 2.55
Tc1 0.0000 0.0000 0.0000  4 S 2.27

6.
The following is a PBE calculation of a relaxed structure of PrTh2Sc3, from the Alexandria database.

As for the relative energy among the computed polymorphs: 0.0 meV per atom. The crystal system is tetragonal. As for the formation energy: 0.1 eV/f.u. The volume comes out at 173 Å³ per cell.

Unit cell a=3.5141 b=3.5141 c=14.0278 alpha=90.00 beta=90.00 gamma=90.00
Closest atoms and distances in Å follow each position.
Sites, in units of the cell vectors:
Th1 0.5000 0.5000 0.8357  8 Sc 3.36-3.39, 4 Th 3.51
Th2 0.5000 0.5000 0.1643  8 Sc 3.36-3.39, 4 Th 3.51
Sc1 0.0000 0.0000 0.0000  8 Th 3.39, 4 Sc 3.51
Sc2 0.0000 0.0000 0.3256  4 Th 3.36, 4 Pr 3.49, 4 Sc 3.51
Sc3 0.0000 0.0000 0.6744  4 Th 3.36, 4 Pr 3.49, 4 Sc 3.51
Pr1 0.5000 0.5000 0.5000  8 Sc 3.49, 4 Pr 3.51